Entry 1:
First-principles (PBEsol) data for a relaxed Mn2AlIr crystal, as listed in Alexandria.

```
Mn2AlIr
1.0
2.6515 0.0000 0.0000
0.0000 2.6515 0.0000
0.0000 0.0000 7.0505
Mn Al Ir
2 1 1
Direct
0.0000 0.0000 0.2488 Mn
0.0000 0.0000 0.7512 Mn
0.5000 0.5000 0.5000 Al
0.5000 0.5000 0.0000 Ir
```

Space group   No. 123

=====

Entry 2:
First-principles (PBEsol) data for a relaxed MnAlIr2 crystal, as listed in Alexandria.

```
MnAlIr2
1.0
4.2222 0.0000 0.0000
0.0000 4.2222 0.0000
0.0000 0.0000 3.0108
Mn Al Ir
1 1 2
Direct
0.0000 0.0000 0.0000 Mn
0.5000 0.5000 0.0000 Al
0.0000 0.5000 0.5000 Ir
0.5000 0.0000 0.5000 Ir
```

Space group   No. 123

=====

Entry 3:
First-principles (PBEsol) data for a relaxed Mn2AlIr crystal, as listed in Alexandria.

```
Mn2AlIr
1.0
4.5542 -1.4054 0.0000
4.5542 1.4054 0.0000
-1.4862 0.0000 3.8537
Mn Al Ir
2 1 1
Direct
0.2503 0.2503 0.2465 Mn
0.7497 0.7497 0.7535 Mn
0.0000 0.0000 0.5000 Al
0.5000 0.5000 0.0000 Ir
```

Space group   No. 12

=====

Number 1: energy -8.528 eV/atom, formation enthalpy at 0 K -0.17 eV/atom. Number 2: energy -8.894 eV/atom, formation enthalpy at 0 K -0.52 eV/atom. Number 3: energy -8.555 eV/atom, formation enthalpy at 0 K -0.20 eV/atom.